1.
This record from Alexandria describes Te2IrF after structural relaxation. The functional is GGA-PBE.

Geometry as CIF:
```
data_Te2IrF
_cell_length_a 3.842
_cell_length_b 4.182
_cell_length_c 6.178
_cell_angle_alpha 80.20
_cell_angle_beta 81.71
_cell_angle_gamma 74.34
_symmetry_space_group_name_H-M 'P 1'
_symmetry_Int_Tables_number 1
loop_
_symmetry_equiv_pos_as_xyz
'x,y,z'
loop_
_atom_site_label
_atom_site_type_symbol
_atom_site_fract_x
_atom_site_fract_y
_atom_site_fract_z
Te1 Te 0.000 0.000 0.000
Te2 Te 0.048 0.505 0.441
Ir1 Ir 0.611 0.554 0.148
F1 F 0.461 0.480 0.824
```

Calculated values
Calculated volume ... 23.42 A^3/atom
Excess energy over the best structure of this formula in the dataset ... 0.334 eV/atom
Uncorrected formation energy ... -0.428 eV/atom
Uncorrected energy ... -4.682 eV/atom


2.
This record from Alexandria describes Ce2GePb after structural relaxation. The functional is GGA-PBE.

Geometry as CIF:
```
data_Ce2GePb
_cell_length_a 4.901
_cell_length_b 4.901
_cell_length_c 4.378
_cell_angle_alpha 90.00
_cell_angle_beta 90.00
_cell_angle_gamma 90.00
_symmetry_space_group_name_H-M 'P 4/m m m'
_symmetry_Int_Tables_number 123
_symmetry_space_group_name_Hall '-P 4 2'
loop_
_atom_site_label
_atom_site_type_symbol
_atom_site_fract_x
_atom_site_fract_y
_atom_site_fract_z
Ce1 Ce 0.000 0.500 0.000
Ge1 Ge 0.000 0.000 0.500
Pb1 Pb 0.500 0.500 0.500
```

Calculated values
Calculated volume ... 26.30 A^3/atom
ΔE_f ... -0.452 eV per atom
Uncorrected energy ... -5.500 eV/atom


3.
This record from Alexandria describes Pr3AgC after structural relaxation. The functional is GGA-PBE.

Geometry as CIF:
```
data_Pr3AgC
_cell_length_a 13.694
_cell_length_b 3.812
_cell_length_c 10.652
_cell_angle_alpha 90.00
_cell_angle_beta 105.87
_cell_angle_gamma 90.00
_symmetry_space_group_name_H-M 'C 1 2/m 1'
_symmetry_Int_Tables_number 12
loop_
_symmetry_equiv_pos_as_xyz
'x,y,z'
'-x,-y,-z'
'-x,y,-z'
'x,-y,z'
'x+1/2,y+1/2,z'
'-x+1/2,-y+1/2,-z'
'-x+1/2,y+1/2,-z'
'x+1/2,-y+1/2,z'
loop_
_atom_site_label
_atom_site_type_symbol
_atom_site_fract_x
_atom_site_fract_y
_atom_site_fract_z
Pr1 Pr 0.126 0.000 0.192
Pr2 Pr 0.144 0.500 0.900
Pr3 Pr 0.167 0.000 0.609
Ag1 Ag 0.039 0.500 0.384
C1 C 0.241 0.500 0.148
```

Calculated values
Calculated volume ... 26.74 A^3/atom
Excess energy over the best structure of this formula in the dataset ... 0.000 eV/atom
ΔE_f ... -0.122 eV per atom
Uncorrected energy ... -5.405 eV/atom


4.
This record from Alexandria describes Na3SmTm2S6 after structural relaxation. The functional is GGA-PBE.

Geometry as CIF:
```
data_Na3SmTm2S6
_cell_length_a 6.894
_cell_length_b 11.942
_cell_length_c 7.067
_cell_angle_alpha 90.00
_cell_angle_beta 108.99
_cell_angle_gamma 90.00
_symmetry_space_group_name_H-M 'C 1 2/m 1'
_symmetry_Int_Tables_number 12
loop_
_symmetry_equiv_pos_as_xyz
'x,y,z'
'-x,-y,-z'
'-x,y,-z'
'x,-y,z'
'x+1/2,y+1/2,z'
'-x+1/2,-y+1/2,-z'
'-x+1/2,y+1/2,-z'
'x+1/2,-y+1/2,z'
loop_
_atom_site_label
_atom_site_type_symbol
_atom_site_fract_x
_atom_site_fract_y
_atom_site_fract_z
Na1 Na 0.000 0.000 0.000
Na2 Na 0.000 0.334 0.000
Sm1 Sm 0.000 0.500 0.500
Tm1 Tm 0.000 0.167 0.500
S1 S 0.234 0.000 0.727
S2 S 0.246 0.329 0.726
```

Calculated values
Calculated volume ... 22.92 A^3/atom
Uncorrected formation energy ... -1.839 eV/atom
Uncorrected energy ... -5.371 eV/atom


5.
This record from Alexandria describes AcSmCuOs after structural relaxation. The functional is GGA-PBE.

Geometry as CIF:
```
data_AcSmCuOs
_cell_length_a 7.231
_cell_length_b 7.231
_cell_length_c 7.231
_cell_angle_alpha 90.00
_cell_angle_beta 90.00
_cell_angle_gamma 90.00
_symmetry_space_group_name_H-M 'F -4 3 m'
_symmetry_Int_Tables_number 216
_symmetry_space_group_name_Hall 'F -4 2 3'
loop_
_atom_site_label
_atom_site_type_symbol
_atom_site_fract_x
_atom_site_fract_y
_atom_site_fract_z
Ac1 Ac 0.000 0.000 0.000
Sm1 Sm 0.000 0.000 0.500
Cu1 Cu 0.250 0.250 0.250
Os1 Os 0.250 0.250 0.750
```

Calculated values
Calculated volume ... 23.63 A^3/atom
ΔE_f ... -0.002 eV per atom
Uncorrected energy ... -6.040 eV/atom


6.
This record from Alexandria describes Ca2ThCd6 after structural relaxation. The functional is GGA-PBE.

Geometry as CIF:
```
data_Ca2ThCd6
_cell_length_a 8.7829
_cell_length_b 8.7829
_cell_length_c 3.4876
_cell_angle_alpha 90.00
_cell_angle_beta 90.00
_cell_angle_gamma 120.00
_symmetry_space_group_name_H-M 'P 6/m m m'
_symmetry_Int_Tables_number 191
_symmetry_space_group_name_Hall '-P 6 2'
loop_
_atom_site_label
_atom_site_type_symbol
_atom_site_fract_x
_atom_site_fract_y
_atom_site_fract_z
Ca1 Ca 0.3333 0.6667 0.0000
Th1 Th 0.0000 0.0000 0.0000
Cd1 Cd 0.0000 0.3358 0.5000
```

Calculated values
Calculated volume ... 25.89 A^3/atom
ΔE_f ... -0.278 eV per atom
Uncorrected energy ... -2.157 eV/atom


7.
This record from Alexandria describes ZnRu3 after structural relaxation. The functional is GGA-PBE.

Geometry as CIF:
```
data_ZnRu3
_cell_length_a 4.846
_cell_length_b 4.846
_cell_length_c 4.846
_cell_angle_alpha 90.00
_cell_angle_beta 90.00
_cell_angle_gamma 90.00
_symmetry_space_group_name_H-M 'P m -3 n'
_symmetry_Int_Tables_number 223
_symmetry_space_group_name_Hall '-P 4n 2 3'
loop_
_atom_site_label
_atom_site_type_symbol
_atom_site_fract_x
_atom_site_fract_y
_atom_site_fract_z
Zn1 Zn 0.000 0.000 0.000
Ru1 Ru 0.000 0.250 0.500
```

Calculated values
Calculated volume ... 14.23 A^3/atom
ΔE_f ... 0.302 eV per atom
Uncorrected energy ... -6.973 eV/atom


8.
This record from Alexandria describes NaTcIN2 after structural relaxation. The functional is GGA-PBE.

Geometry as CIF:
```
data_NaTcIN2
_cell_length_a 3.943
_cell_length_b 3.943
_cell_length_c 5.882
_cell_angle_alpha 90.00
_cell_angle_beta 90.00
_cell_angle_gamma 90.00
_symmetry_space_group_name_H-M 'P 4/m m m'
_symmetry_Int_Tables_number 123
_symmetry_space_group_name_Hall '-P 4 2'
loop_
_atom_site_label
_atom_site_type_symbol
_atom_site_fract_x
_atom_site_fract_y
_atom_site_fract_z
Na1 Na 0.000 0.000 0.000
Tc1 Tc 0.500 0.500 0.500
I1 I 0.500 0.500 0.000
N1 N 0.000 0.500 0.500
```

Calculated values
Calculated volume ... 18.29 A^3/atom
Excess energy over the best structure of this formula in the dataset ... 0.000 eV/atom
Uncorrected formation energy ... 0.276 eV/atom
Uncorrected energy ... -5.701 eV/atom


9.
This record from Alexandria describes PmDy2Y2Tm after structural relaxation. The functional is GGA-PBE.

Geometry as CIF:
```
data_PmDy2Y2Tm
_cell_length_a 6.501
_cell_length_b 17.793
_cell_length_c 3.410
_cell_angle_alpha 90.00
_cell_angle_beta 90.00
_cell_angle_gamma 90.00
_symmetry_space_group_name_H-M 'P n n m'
_symmetry_Int_Tables_number 58
loop_
_symmetry_equiv_pos_as_xyz
'x,y,z'
'-x,-y,-z'
'-x,-y,z'
'x,y,-z'
'x+1/2,-y+1/2,-z+1/2'
'-x+1/2,y+1/2,z+1/2'
'-x+1/2,y+1/2,-z+1/2'
'x+1/2,-y+1/2,z+1/2'
loop_
_atom_site_label
_atom_site_type_symbol
_atom_site_fract_x
_atom_site_fract_y
_atom_site_fract_z
Pm1 Pm 0.000 0.000 0.000
Dy1 Dy 0.219 0.354 0.500
Y1 Y 0.222 0.187 0.000
Tm1 Tm 0.000 0.500 0.000
```

Calculated values
Calculated volume ... 32.87 A^3/atom
ΔE_f ... 0.267 eV per atom
Uncorrected energy ... -4.959 eV/atom


10.
This record from Alexandria describes Ca2PbW after structural relaxation. The functional is GGA-PBE.

Geometry as CIF:
```
data_Ca2PbW
_cell_length_a 3.127
_cell_length_b 3.127
_cell_length_c 10.118
_cell_angle_alpha 90.00
_cell_angle_beta 90.00
_cell_angle_gamma 90.00
_symmetry_space_group_name_H-M 'P 4/m m m'
_symmetry_Int_Tables_number 123
_symmetry_space_group_name_Hall '-P 4 2'
loop_
_atom_site_label
_atom_site_type_symbol
_atom_site_fract_x
_atom_site_fract_y
_atom_site_fract_z
Ca1 Ca 0.000 0.000 0.232
Pb1 Pb 0.500 0.500 0.500
W1 W 0.500 0.500 0.000
```

Calculated values
Calculated volume ... 24.74 A^3/atom
ΔE_f ... 0.405 eV per atom
Uncorrected energy ... -4.762 eV/atom


11.
This record from Alexandria describes NiAgPb2 after structural relaxation. The functional is GGA-PBE.

Geometry as CIF:
```
data_NiAgPb2
_cell_length_a 3.812
_cell_length_b 4.208
_cell_length_c 5.773
_cell_angle_alpha 90.00
_cell_angle_beta 109.21
_cell_angle_gamma 90.00
_symmetry_space_group_name_H-M 'P 1 m 1'
_symmetry_Int_Tables_number 6
loop_
_symmetry_equiv_pos_as_xyz
'x,y,z'
'x,-y,z'
loop_
_atom_site_label
_atom_site_type_symbol
_atom_site_fract_x
_atom_site_fract_y
_atom_site_fract_z
Ni1 Ni 0.000 0.000 0.000
Ag1 Ag 0.844 0.500 0.683
Pb1 Pb 0.264 0.000 0.524
Pb2 Pb 0.556 0.500 0.111
```

Calculated values
Calculated volume ... 21.86 A^3/atom
Excess energy over the best structure of this formula in the dataset ... 0.000 eV/atom
ΔE_f ... 0.174 eV per atom
Uncorrected energy ... -3.838 eV/atom


12.
This record from Alexandria describes Ca2SnHPb after structural relaxation. The functional is GGA-PBE.

Geometry as CIF:
```
data_Ca2SnHPb
_cell_length_a 4.871
_cell_length_b 4.871
_cell_length_c 4.998
_cell_angle_alpha 90.00
_cell_angle_beta 90.00
_cell_angle_gamma 90.00
_symmetry_space_group_name_H-M 'P 4/m m m'
_symmetry_Int_Tables_number 123
_symmetry_space_group_name_Hall '-P 4 2'
loop_
_atom_site_label
_atom_site_type_symbol
_atom_site_fract_x
_atom_site_fract_y
_atom_site_fract_z
Ca1 Ca 0.000 0.500 0.000
Sn1 Sn 0.000 0.000 0.500
H1 H 0.500 0.500 0.000
Pb1 Pb 0.500 0.500 0.500
```

Calculated values
Calculated volume ... 23.72 A^3/atom
Excess energy over the best structure of this formula in the dataset ... 0.000 eV/atom
Uncorrected energy ... -3.380 eV/atom


The lowest uncorrected energy belongs to which entry?
ZnRu3